Density functional theory data (PBE) for RbLaHg2Ir after structural relaxation.

a b c (Å): 5.533 5.533 5.234
angles (deg): 90.00 90.00 90.00
Space group P4/mmm (No. 123)
Symmetry-distinct sites (fractional):
Rb 0.000 0.000 0.000 (multiplicity 1)
La 0.500 0.500 0.000 (multiplicity 1)
Hg 0.000 0.500 0.500 (multiplicity 2)
Ir 0.500 0.500 0.500 (multiplicity 1)

Energy relative to the elements in eV per atom: -0.242
Final energy in eV for the cell shown: -16.57
DOS at the Fermi energy in states/eV/f.u.: 2.42